(P)
NbAlV | the Alexandria database | PBE | optimized geometry; total moment = 0.00 μB per formula unit
1.0
-0.026 -3.197 0.806
3.250 -0.161 -0.533
-0.864 2.740 4.096
V Al Nb
1 1 1
direct
0.622 0.622 0.244
0.955 0.955 0.910
0.273 0.273 0.546



(Q)
NbAlV | the Alexandria database | PBE | optimized geometry; total moment = 0.00 μB per formula unit
1.0
-4.251 -1.610 -0.114
-0.948 -3.748 -2.394
1.017 -2.989 4.277
Nb Al V
2 2 2
direct
0.629 0.979 0.864
0.962 0.312 0.717
0.295 0.645 0.047
0.295 0.645 0.535
0.962 0.312 0.221
0.629 0.979 0.361



(R)
NbAlV | the Alexandria database | PBE | optimized geometry; total moment = 0.00 μB per formula unit
1.0
-2.041 3.146 -3.524
-1.101 -5.020 0.251
-1.507 0.390 4.905
Nb V Al
2 2 2
direct
0.750 0.870 0.620
0.250 0.130 0.380
0.500 0.000 0.000
0.000 0.500 0.000
0.500 0.500 0.000
0.000 0.500 0.500



(S)
NbAlV | the Alexandria database | PBE | optimized geometry; total moment = 0.00 μB per formula unit
1.0
-0.875 -3.580 2.660
4.115 -0.665 0.459
0.039 3.478 4.694
Nb V Al
2 2 2
direct
0.000 0.500 0.250
0.000 0.500 0.750
0.000 0.000 0.000
0.000 0.000 0.500
0.500 0.000 0.250
0.500 0.000 0.750



Ranked by calculated energy, most stable first: (R), (P), (Q), (S).



(P)
Nb6AlW | the Alexandria database | PBE | optimized geometry; total moment = 0.00 μB per formula unit
1.0
-4.455 1.194 0.019
-0.855 -3.116 -4.691
-0.846 -3.227 4.618
Nb Al W
6 1 1
direct
0.000 0.618 0.382
0.500 0.875 0.125
0.000 0.116 0.366
0.500 0.369 0.121
0.000 0.634 0.884
0.500 0.879 0.631
0.500 0.377 0.623
0.000 0.132 0.868



(Q)
Nb6AlW | the Alexandria database | PBE | optimized geometry; total moment = 0.00 μB per formula unit
1.0
-7.133 -1.871 -0.178
-2.028 -6.550 -2.742
-2.799 -4.036 1.766
Nb W Al
6 1 1
direct
0.500 0.246 0.254
0.000 0.500 0.253
0.754 0.000 0.747
0.500 0.754 0.746
0.000 0.500 0.747
0.246 0.000 0.253
0.000 0.000 0.000
0.500 0.500 0.500



Ranked by calculated energy, most stable first: (Q), (P).



(P)
Nb3AlW | the Alexandria database | PBE | optimized geometry; total moment = 0.00 μB per formula unit
1.0
4.860 0.000 0.000
0.000 4.860 0.000
0.000 0.000 4.860
Nb W Al
3 1 1
direct
0.000 0.500 0.000
0.000 0.000 0.500
0.500 0.000 0.000
0.000 0.000 0.000
0.500 0.500 0.500



(Q)
Nb3AlW | the Alexandria database | PBE | optimized geometry; total moment = 0.00 μB per formula unit
1.0
4.643 0.000 0.000
0.000 4.643 0.000
0.000 0.000 4.643
Nb W Al
3 1 1
direct
0.000 0.500 0.000
0.500 0.000 0.000
0.000 0.000 0.500
0.500 0.500 0.500
0.000 0.000 0.000



Ranked by calculated energy, most stable first: (P), (Q).



(P)
YNbAl3 | the Alexandria database | PBE | optimized geometry; total moment = 0.00 μB per formula unit
1.0
-3.192 -3.625 -0.949
3.727 -2.946 -1.286
0.379 -1.552 4.655
Al Nb Y
3 1 1
direct
0.000 0.000 0.500
0.500 0.000 0.000
0.000 0.500 0.000
0.000 0.000 0.000
0.500 0.500 0.500



(Q)
YNbAl3 | the Alexandria database | PBE | optimized geometry; total moment = 0.12 μB per formula unit
1.0
5.086 0.000 0.000
0.000 5.086 0.000
0.000 0.000 5.086
Y Al Nb
1 3 1
direct
0.000 0.000 0.000
0.000 0.000 0.500
0.500 0.000 0.000
0.000 0.500 0.000
0.500 0.500 0.500



Ranked by calculated energy, most stable first: (P), (Q).